[1]
The following is a GGA-PBE calculation of a relaxed structure of CaAc2CeSb4, from Alexandria via LeMat-Bulk.

a = 8.0245 Å, b = 4.6881 Å, c = 8.0647 Å
α = 90.00°, β = 109.56°, γ = 90.00°
Last column: nearest neighbours and their distance in Å.
Element x y z (fractional)
Ca 0.0000 0.0000 0.0000  6 Sb 3.23-3.25
Ac 0.5000 0.0000 0.5000  6 Sb 3.34-3.35
Ac 0.5000 0.5000 0.0000  6 Sb 3.40-3.41
Ce 0.0000 0.5000 0.5000  6 Sb 3.17-3.20
Sb 0.2302 0.0000 0.7388  2 Ce 3.20, 1 Ca 3.23, 3 Ac 3.34-3.40
Sb 0.2330 0.5000 0.2511  1 Ce 3.17, 2 Ca 3.25, 3 Ac 3.35-3.41
Sb 0.7670 0.5000 0.7489  1 Ce 3.17, 2 Ca 3.25, 3 Ac 3.35-3.41
Sb 0.7698 0.0000 0.2612  2 Ce 3.20, 1 Ca 3.23, 3 Ac 3.34-3.40

Output
As for the total magnetization: 0.17 μB/cell. The value obtained for the raw total energy is -5.152 eV/atom. The value obtained for the raw formation energy is -103.4 kJ/mol of atoms.



[2]
The following is a GGA-PBE calculation of a relaxed structure of Er3Sc4, from Alexandria via LeMat-Bulk.

a = 5.7977 Å, b = 5.7977 Å, c = 7.5522 Å
α = 97.77°, β = 97.77°, γ = 48.74°
Last column: nearest neighbours and their distance in Å.
Element x y z (fractional)
Er 0.0000 0.0000 0.0000  8 Sc 3.36-3.39, 4 Er 3.39
Er 0.4260 0.4260 0.2850  9 Sc 3.33-3.39, 3 Er 3.39
Er 0.5740 0.5740 0.7150  9 Sc 3.33-3.39, 3 Er 3.39
Sc 0.1440 0.1440 0.4328  6 Sc 3.31-3.38, 6 Er 3.33-3.39
Sc 0.2864 0.2864 0.8533  5 Sc 3.31-3.43, 7 Er 3.34-3.37
Sc 0.7136 0.7136 0.1467  5 Sc 3.31-3.43, 7 Er 3.34-3.37
Sc 0.8560 0.8560 0.5672  6 Sc 3.31-3.38, 6 Er 3.33-3.39

Output
Its calculated formation energy is 0.373 eV/f.u. As for the total magnetization: 0.00 μB/cell. The value obtained for the raw total energy is -5.520 eV/atom.



[3]
The following is a GGA-PBE calculation of a relaxed structure of PrThPt, from Alexandria via LeMat-Bulk.

a = 7.1178 Å, b = 7.1603 Å, c = 9.4003 Å
α = 90.00°, β = 127.94°, γ = 90.00°
Last column: nearest neighbours and their distance in Å.
Element x y z (fractional)
Pr 0.2019 0.0462 0.4361  3 Pt 3.07-3.31
Pr 0.2019 0.4538 0.9361  3 Pt 3.07-3.31
Pr 0.7981 0.5462 0.0639  3 Pt 3.07-3.31
Pr 0.7981 0.9538 0.5639  3 Pt 3.07-3.31
Th 0.3029 0.5428 0.5635  3 Pt 2.79-2.86
Th 0.3029 0.9572 0.0635  3 Pt 2.79-2.86
Th 0.6971 0.0428 0.9365  3 Pt 2.79-2.86
Th 0.6971 0.4572 0.4365  3 Pt 2.79-2.86
Pt 0.3048 0.7073 0.2918  3 Th 2.79-2.86, 2 Pr 3.07-3.08
Pt 0.3048 0.7927 0.7918  3 Th 2.79-2.86, 2 Pr 3.07-3.08
Pt 0.6952 0.2073 0.2082  3 Th 2.79-2.86, 2 Pr 3.07-3.08
Pt 0.6952 0.2927 0.7082  3 Th 2.79-2.86, 2 Pr 3.07-3.08

Output
Its calculated formation energy is -1.889 eV/f.u. As for the total magnetization: 0.00 μB/cell. The value obtained for the raw total energy is -6.710 eV/atom. For the offset from the most stable computed form, the calculation gives 29.5 meV/atom.



[4]
The following is a GGA-PBE calculation of a relaxed structure of LiHg2Ge2, from Alexandria via LeMat-Bulk.

a = 7.7062 Å, b = 7.7062 Å, c = 3.7969 Å
α = 90.00°, β = 90.00°, γ = 90.00°
Last column: nearest neighbours and their distance in Å.
Element x y z (fractional)
Li 0.0000 0.0000 0.0000  4 Hg 2.85
Li 0.5000 0.5000 0.0000  4 Hg 2.85
Hg 0.1734 0.3266 0.0000  2 Li 2.85, 6 Ge 2.89-3.01
Hg 0.3266 0.8266 0.0000  2 Li 2.85, 6 Ge 2.89-3.01
Hg 0.6734 0.1734 0.0000  2 Li 2.85, 6 Ge 2.89-3.01
Hg 0.8266 0.6734 0.0000  2 Li 2.85, 6 Ge 2.89-3.01
Ge 0.1268 0.6268 0.5000  1 Ge 2.76, 6 Hg 2.89-3.01
Ge 0.3732 0.1268 0.5000  1 Ge 2.76, 6 Hg 2.89-3.01
Ge 0.6268 0.8732 0.5000  1 Ge 2.76, 6 Hg 2.89-3.01
Ge 0.8732 0.3732 0.5000  1 Ge 2.76, 6 Hg 2.89-3.01

Output
Its calculated formation energy is 0.593 eV/f.u. As for the total magnetization: 0.00 μB/cell. The value obtained for the raw total energy is -2.232 eV/atom. For the offset from the most stable computed form, the calculation gives 69.8 meV/atom.